(1)
A relaxed structure of DyHo3Th2As6. Source: Alexandria, functional PBE.

a b c (Å): 4.1675 8.2980 9.2901
angles (deg): 102.76 102.96 90.00
Sites, in units of the cell vectors:
Ho: 0.8338 0.1660 0.6676
Ho: 0.5000 0.5000 0.0000
Ho: 0.1662 0.8340 0.3324
As: 0.3350 0.4118 0.6700
As: 0.0023 0.7503 0.0046
As: 0.6650 0.5882 0.3300
As: 0.3333 0.9234 0.6667
As: 0.6667 0.0766 0.3333
As: 0.9977 0.2497 0.9954
Dy: 0.5000 0.0000 0.0000
Th: 0.8352 0.6699 0.6703
Th: 0.1648 0.3301 0.3297

D(E_F): 3.91 states/eV per cell
Energy of formation from the pure elements: -1727 kJ/mol of formula units
Magnetization: 0.000 μB/atom
DFT total energy: -78.97 eV per cell

(2)
A relaxed structure of Dy3HoTm2As6. Source: Alexandria, functional PBE.

a b c (Å): 7.0961 7.0961 7.0948
angles (deg): 99.58 99.58 119.99
Sites, in units of the cell vectors:
Ho: 0.0000 0.0000 0.0000
As: 0.9176 0.5829 0.7527
As: 0.5829 0.9176 0.7527
As: 0.0824 0.4171 0.2473
As: 0.4171 0.0824 0.2473
As: 0.2523 0.2523 0.7529
As: 0.7477 0.7477 0.2471
Tm: 0.6668 0.3332 0.0000
Tm: 0.3332 0.6668 0.0000
Dy: 0.8337 0.1663 0.5000
Dy: 0.1663 0.8337 0.5000
Dy: 0.5000 0.5000 0.5000

D(E_F): 1.91 states/eV per cell
Energy of formation from the pure elements: -1765 kJ/mol of formula units
Magnetization: 0.000 μB/atom
DFT total energy: -73.52 eV per cell

(3)
A relaxed structure of DyHo2Tm3As6. Source: Alexandria, functional PBE.

a b c (Å): 4.0847 8.1675 9.1309
angles (deg): 102.88 102.92 90.00
Sites, in units of the cell vectors:
Ho: 0.1668 0.3333 0.3335
Ho: 0.8332 0.6667 0.6665
Tm: 0.5000 0.5000 0.0000
Tm: 0.8334 0.1668 0.6668
Tm: 0.1666 0.8332 0.3332
As: 0.3325 0.9179 0.6650
As: 0.9995 0.2522 0.9990
As: 0.6661 0.5846 0.3323
As: 0.0005 0.7478 0.0010
As: 0.6675 0.0821 0.3350
As: 0.3339 0.4154 0.6677
Dy: 0.5000 0.0000 0.0000

D(E_F): 1.86 states/eV per cell
Energy of formation from the pure elements: -1758 kJ/mol of formula units
Magnetization: 0.000 μB/atom
DFT total energy: -73.29 eV per cell